[1]
Density functional theory data (meta-GGA SCAN) for a PBEsol-optimized structure of SrGd2O4. Values from VASP.

The structure in Quantum ESPRESSO input format:
```
&SYSTEM
  ibrav = 0, nat = 28, ntyp = 3
/
ATOMIC_SPECIES
Sr 87.62 Sr.upf
Gd 157.25 Gd.upf
O 16.00 O.upf
CELL_PARAMETERS angstrom
10.029 0.000 0.000
0.000 3.451 0.000
0.000 0.000 11.971
ATOMIC_POSITIONS angstrom
Sr 2.508 0.863 1.785
Sr 2.507 2.589 7.770
Sr 7.522 0.863 4.201
Sr 7.521 2.589 10.187
Gd 0.740 0.863 10.623
Gd 0.842 0.863 4.662
Gd 4.172 2.589 10.648
Gd 4.274 2.589 4.638
Gd 5.755 0.863 7.334
Gd 5.857 0.863 1.323
Gd 9.187 2.589 7.309
Gd 9.289 2.589 1.348
O 0.083 2.589 9.383
O 0.718 0.863 6.942
O 1.318 2.589 0.213
O 2.158 2.589 3.814
O 2.857 0.863 9.800
O 3.696 0.863 6.198
O 4.297 2.589 0.957
O 4.931 0.863 3.398
O 5.098 2.589 8.574
O 5.732 0.863 11.015
O 6.333 2.589 5.773
O 7.173 2.589 2.172
O 7.871 0.863 8.157
O 8.711 0.863 11.758
O 9.311 2.589 5.029
O 9.946 0.863 2.588
```

Calculated values
raw formation energy: -3.5237 eV per atom
space group: No. 62

=====

[2]
Density functional theory data (meta-GGA SCAN) for a PBEsol-optimized structure of GdTa3O9. Values from VASP.

The structure in Quantum ESPRESSO input format:
```
&SYSTEM
  ibrav = 0, nat = 52, ntyp = 3
/
ATOMIC_SPECIES
Gd 157.25 Gd.upf
Ta 180.95 Ta.upf
O 16.00 O.upf
CELL_PARAMETERS angstrom
6.426 0.000 0.000
0.000 7.603 0.000
0.000 0.000 12.460
ATOMIC_POSITIONS angstrom
Gd 0.369 1.901 0.397
Gd 2.844 5.703 6.627
Gd 3.582 1.901 5.833
Gd 6.057 5.703 12.063
Ta 0.000 0.000 6.230
Ta 0.000 3.802 6.230
Ta 1.294 0.019 9.817
Ta 1.294 3.782 9.817
Ta 1.919 3.821 3.587
Ta 1.919 7.584 3.587
Ta 3.213 0.000 0.000
Ta 3.213 3.802 0.000
Ta 4.508 0.019 8.873
Ta 4.508 3.782 8.873
Ta 5.132 3.821 2.643
Ta 5.132 7.584 2.643
O 0.087 0.343 8.192
O 0.087 3.459 8.192
O 0.451 5.703 6.569
O 0.688 0.274 2.092
O 0.688 3.528 2.092
O 1.035 1.901 10.353
O 1.288 5.703 10.059
O 1.316 4.029 12.002
O 1.316 7.377 12.002
O 1.897 0.227 5.772
O 1.897 3.575 5.772
O 1.925 1.901 3.829
O 2.178 5.703 4.123
O 2.525 4.075 8.322
O 2.525 7.330 8.322
O 2.762 1.901 0.339
O 3.126 4.144 1.962
O 3.126 7.261 1.962
O 3.300 0.343 10.498
O 3.300 3.459 10.498
O 3.664 5.703 12.122
O 3.902 0.274 4.138
O 3.902 3.528 4.138
O 4.248 1.901 8.337
O 4.501 5.703 8.631
O 4.530 4.029 6.688
O 4.530 7.377 6.688
O 5.110 0.227 0.458
O 5.110 3.575 0.458
O 5.138 1.901 2.401
O 5.391 5.703 2.107
O 5.738 4.075 10.368
O 5.738 7.330 10.368
O 5.975 1.901 5.892
O 6.339 4.144 4.268
O 6.339 7.261 4.268
```

Calculated values
raw formation energy: -3.2431 eV per atom
space group: No. 62
energy above the most stable polymorph in this dataset: 0.0118 eV per atom

=====

[3]
Density functional theory data (meta-GGA SCAN) for a PBEsol-optimized structure of GdTaO4. Values from VASP.

The structure in Quantum ESPRESSO input format:
```
&SYSTEM
  ibrav = 0, nat = 12, ntyp = 3
/
ATOMIC_SPECIES
Gd 157.25 Gd.upf
Ta 180.95 Ta.upf
O 16.00 O.upf
CELL_PARAMETERS angstrom
5.154 0.000 0.000
0.000 5.476 0.000
-0.649 0.000 5.297
ATOMIC_POSITIONS angstrom
Gd -0.162 1.282 1.324
Gd -0.487 4.194 3.973
Ta 2.090 1.694 3.973
Ta 2.415 3.782 1.324
O 0.905 0.461 3.200
O 1.230 5.015 0.551
O 0.747 2.406 5.254
O 1.072 3.070 2.606
O 3.433 2.406 2.692
O 3.758 3.070 0.043
O 3.275 0.461 4.746
O 3.600 5.015 2.097
```

Calculated values
raw formation energy: -3.4903 eV per atom
space group: No. 13

=====

[4]
Density functional theory data (meta-GGA SCAN) for a PBEsol-optimized structure of GdTa3O9. Values from VASP.

The structure in Quantum ESPRESSO input format:
```
&SYSTEM
  ibrav = 0, nat = 26, ntyp = 3
/
ATOMIC_SPECIES
Gd 157.25 Gd.upf
Ta 180.95 Ta.upf
O 16.00 O.upf
CELL_PARAMETERS angstrom
5.293 0.000 0.000
0.000 7.475 0.000
-0.355 0.000 8.208
ATOMIC_POSITIONS angstrom
Gd 0.027 1.869 3.564
Gd 4.911 5.607 4.644
Ta 0.000 0.000 0.000
Ta 0.000 3.738 0.000
Ta 2.245 0.053 5.722
Ta 2.245 3.684 5.722
Ta 2.693 3.791 2.486
Ta 2.693 7.422 2.486
O 0.161 1.869 8.036
O 0.505 4.210 6.440
O 0.505 7.003 6.440
O 1.212 4.050 3.834
O 1.212 7.163 3.834
O 1.674 4.140 0.983
O 1.674 7.073 0.983
O 1.560 1.869 5.383
O 2.158 1.869 2.568
O 2.780 5.607 5.640
O 3.378 5.607 2.825
O 3.264 0.402 7.225
O 3.264 3.335 7.225
O 3.726 0.313 4.374
O 3.726 3.425 4.374
O 4.433 0.473 1.768
O 4.433 3.265 1.768
O 4.777 5.607 0.173
```

Calculated values
raw formation energy: -3.2549 eV per atom
space group: No. 11
energy above the most stable polymorph in this dataset: 0.0000 eV per atom